Density functional theory data (PBE) for a relaxed structure of BeSnF3.

Geometry as CIF:
```
data_BeSnF3
_cell_length_a 3.918
_cell_length_b 3.918
_cell_length_c 3.918
_cell_angle_alpha 90.00
_cell_angle_beta 90.00
_cell_angle_gamma 90.00
_space_group_name_H-M_alt 'P 1'
_space_group_IT_number 1
loop_
_space_group_symop_operation_xyz
'x,y,z'
loop_
_atom_site_label
_atom_site_type_symbol
_atom_site_fract_x
_atom_site_fract_y
_atom_site_fract_z
_atom_site_occupancy
Be1 Be 0.000 0.000 0.000 1
Sn1 Sn 0.500 0.500 0.500 1
F1 F 0.000 0.500 0.000 1
F2 F 0.000 0.000 0.500 1
F3 F 0.500 0.000 0.000 1
```

Output
polymorph energy (0 for the lowest one) = 0 kJ/mol of formula units
uncorrected energy = -22.569 eV for the cell shown
raw formation energy = -1845 meV/atom
density of states at the Fermi level = 2.65 states/eV per cell